No. 1
A relaxed structure of Mo3Rh4. Source: Alexandria via LeMat-Bulk, functional GGA-PBE.

Cell: 5.024 5.024 4.932 Å, 90.00 90.00 120.00°
Last column: magnetic moment on the atom in μB.
Element x y z (fractional)
Mo  0.000  0.500  0.000  0.01
Mo  0.500  0.500  0.000  0.01
Mo  0.500  0.000  0.000  0.01
Rh  0.000  0.000  0.259  0.03
Rh  0.000  0.000  0.741  0.03
Rh  0.667  0.333  0.500  0.24
Rh  0.333  0.667  0.500  0.24

Properties
As for the formation energy: 0.068 eV per atom. Its size of the total moment is 0.6 μB per formula unit. Its space-group type is P6/mmm, No. 191.

***

No. 2
A relaxed structure of La12Pr7Th. Source: Alexandria via LeMat-Bulk, functional GGA-PBE.

Cell: 10.201 10.201 10.201 Å, 109.47 109.47 109.47°
Element x y z (fractional)
La  0.531  0.747  0.784
La  0.963  0.747  0.216
La  0.469  0.253  0.216
La  0.037  0.253  0.784
La  0.784  0.037  0.253
La  0.784  0.531  0.747
La  0.216  0.963  0.747
La  0.216  0.469  0.253
La  0.747  0.784  0.531
La  0.253  0.216  0.469
La  0.747  0.216  0.963
La  0.253  0.784  0.037
Pr  0.500  0.500  0.000
Pr  0.000  0.500  0.500
Pr  0.500  0.000  0.500
Pr  0.500  0.500  0.500
Pr  0.000  0.000  0.500
Pr  0.500  0.000  0.000
Pr  0.000  0.500  0.000
Th  0.000  0.000  0.000

Properties
As for the formation energy: 0.551 eV per atom. Its size of the total moment is 0.0 μB per formula unit. Its space-group type is Im-3, No. 204.

***

No. 3
A relaxed structure of Er2TmCd. Source: Alexandria via LeMat-Bulk, functional GGA-PBE.

Cell: 3.522 3.522 10.885 Å, 80.69 80.69 60.00°
Element x y z (fractional)
Cd  0.000  0.000  0.000
Tm  0.500  0.500  0.500
Er  0.255  0.255  0.236
Er  0.745  0.745  0.764

Properties
As for the formation energy: -0.066 eV per atom. Its size of the total moment is 0.0 μB per formula unit. Its space-group type is R-3m, No. 166.

***

No. 4
A relaxed structure of Tb2Y3Cd2. Source: Alexandria via LeMat-Bulk, functional GGA-PBE.

Cell: 5.402 5.406 8.565 Å, 108.34 90.03 119.95°
Element x y z (fractional)
Tb  0.925  0.850  0.275
Tb  0.075  0.150  0.725
Y  0.500  0.000  0.000
Y  0.657  0.313  0.470
Y  0.343  0.687  0.530
Cd  0.787  0.575  0.863
Cd  0.213  0.425  0.137

Properties
As for the formation energy: -0.155 eV per atom. Its size of the total moment is 0.0 μB per formula unit. Its space-group type is P-1, No. 2.

***

No. 5
A relaxed structure of Fe2CoP. Source: Alexandria via LeMat-Bulk, functional GGA-PBE.

Cell: 3.912 3.912 2.825 Å, 90.00 90.00 90.00°
Last column: magnetic moment on the atom in μB.
Element x y z (fractional)
Co  0.000  0.500  0.500  1.58
Fe  0.000  0.000  0.000  1.56
Fe  0.500  0.500  0.000  1.56
P  0.500  0.000  0.500  -0.04

Properties
As for the formation energy: -0.066 eV per atom. Its size of the total moment is 4.6 μB per formula unit. Its space-group type is P4/mmm, No. 123.

***

No. 6
A relaxed structure of AgAs2Pt. Source: Alexandria via LeMat-Bulk, functional GGA-PBE.

Cell: 4.758 4.758 3.180 Å, 90.00 90.00 102.78°
Element x y z (fractional)
As  0.000  0.000  0.000
As  0.500  0.500  0.000
Ag  0.000  0.500  0.500
Pt  0.500  0.000  0.500

Properties
As for the formation energy: 0.099 eV per atom. Its size of the total moment is 0.0 μB per formula unit. Its space-group type is Cmmm, No. 65.

***

No. 7
A relaxed structure of HgTe2Pt. Source: Alexandria via LeMat-Bulk, functional GGA-PBE.

Cell: 6.721 6.721 6.721 Å, 145.91 138.35 54.88°
Element x y z (fractional)
Hg  0.750  0.250  0.500
Pt  0.250  0.750  0.500
Te  0.096  0.096  0.000
Te  0.404  0.404  0.000

Properties
The calculation puts the formation energy from raw total energies at -9.1 kJ per mole of atoms. Its size of the total moment is 0.0 μB per formula unit. Its space-group type is Immm, No. 71.

***

No. 8
A relaxed structure of CsBI3. Source: Alexandria via LeMat-Bulk, functional GGA-PBE.

Cell: 8.754 8.754 8.106 Å, 57.32 57.32 90.00°
Element x y z (fractional)
Cs  0.750  0.250  0.500
Cs  0.250  0.750  0.500
I  0.198  0.198  0.604
I  0.802  0.802  0.396
I  0.275  0.275  0.000
I  0.725  0.725  0.000
I  0.725  0.275  0.000
I  0.275  0.725  0.000
B  0.500  0.500  0.000
B  0.000  0.000  0.000

Properties
The calculation puts the formation energy from raw total energies at -6.5 kJ per mole of atoms. Its size of the total moment is 0.0 μB per formula unit. Its space-group type is I4/mmm, No. 139.

***

No. 9
A relaxed structure of Ti3CuRu. Source: Alexandria via LeMat-Bulk, functional GGA-PBE.

Cell: 4.678 4.678 4.678 Å, 90.00 90.00 90.00°
Last column: magnetic moment on the atom in μB.
Element x y z (fractional)
Ru  0.000  0.000  0.000  -0.10
Cu  0.500  0.500  0.500  0.03
Ti  0.000  0.500  0.000  0.42
Ti  0.000  0.000  0.500  0.23
Ti  0.500  0.000  0.000  0.72

Properties
As for the formation energy: 0.580 eV per atom. Its size of the total moment is 1.7 μB per formula unit. Its space-group type is Pm-3m, No. 221.

***

No. 10
A relaxed structure of CdReCl2. Source: Alexandria via LeMat-Bulk, functional GGA-PBE.

Cell: 5.470 5.549 3.158 Å, 71.21 94.37 120.97°
Last column: magnetic moment on the atom in μB.
Element x y z (fractional)
Re  0.000  0.500  0.500  1.98
Cl  0.000  0.000  0.000  0.01
Cl  0.500  0.000  0.500  0.01
Cd  0.500  0.500  0.000  -0.05

Properties
The calculation puts the formation energy from raw total energies at 67.8 kJ per mole of atoms. Its size of the total moment is 2.2 μB per formula unit. Its space-group type is C2/m, No. 12.

***

No. 11
A relaxed structure of Zn4Cd2Br. Source: Alexandria via LeMat-Bulk, functional GGA-PBE.

Cell: 5.518 5.518 7.827 Å, 69.36 69.36 90.00°
Element x y z (fractional)
Zn  0.799  0.799  0.401
Zn  0.201  0.201  0.599
Zn  0.000  0.500  0.000
Zn  0.500  0.000  0.000
Br  0.000  0.000  0.000
Cd  0.604  0.604  0.792
Cd  0.396  0.396  0.208

Properties
The calculation puts the formation energy from raw total energies at 40.2 kJ per mole of atoms. Its size of the total moment is 0.0 μB per formula unit. Its space-group type is I4/mmm, No. 139.

***

No. 12
A relaxed structure of LaTb6Tl4. Source: Alexandria via LeMat-Bulk, functional GGA-PBE.

Cell: 3.794 10.172 10.172 Å, 120.00 90.00 90.00°
Last column: magnetic moment on the atom in μB.
Element x y z (fractional)
La  0.000  0.000  0.000  0.05
Tb  0.000  0.540  0.080  0.30
Tb  0.500  0.615  0.807  0.17
Tb  0.000  0.540  0.460  0.30
Tb  0.000  0.920  0.460  0.30
Tb  0.500  0.193  0.807  0.17
Tb  0.500  0.193  0.385  0.17
Tl  0.500  0.836  0.672  -0.01
Tl  0.500  0.328  0.164  -0.01
Tl  0.500  0.836  0.164  -0.01
Tl  0.000  0.333  0.667  -0.01

Properties
As for the formation energy: -0.240 eV per atom. Its size of the total moment is 2.4 μB per formula unit. Its space-group type is P-6m2, No. 187.

***

no.,DOS(E_F) (states/eV per cell),uncorrected energy (eV per cell)
1,8.37,-61.423
2,32.29,-88.990
3,4.57,-14.778
4,8.53,-31.571
5,5.23,-29.706
6,0.96,-17.794
7,0.78,-13.001
8,0.00,-25.037
9,5.14,-34.155
10,2.26,-14.245
11,2.39,-5.684
12,9.00,-44.811